Entry from Alexandria: HfReAg2H after structural relaxation (PBE).

Calculated values
ρ: 13.44 Mg/m³
E: -5.9914 eV/atom
DOS at the Fermi energy: 1.218 states/eV/cell
Space group: P4/mmm
Crystal system: tetragonal

```
data_HfReAg2H
_chemical_formula_sum 'Hf1 Re1 Ag2 H1'
_cell_length_a 4.068
_cell_length_b 4.068
_cell_length_c 4.343
_cell_angle_alpha 90.00
_cell_angle_beta 90.00
_cell_angle_gamma 90.00
_symmetry_space_group_name_H-M 'P 1'
_symmetry_Int_Tables_number 1
_symmetry_space_group_name_Hall 'P 1'
loop_
_atom_site_label
_atom_site_type_symbol
_atom_site_fract_x
_atom_site_fract_y
_atom_site_fract_z
Hf1 Hf 0.000 0.000 0.000
Re1 Re 0.500 0.500 0.000
Ag1 Ag 0.000 0.500 0.500
Ag2 Ag 0.500 0.000 0.500
H1 H 0.500 0.500 0.500
```